Below is an optimized crystal structure of Sm2BeZnPt6, with properties calculated at the GGA-PBE level.

a b c (Å): 7.5166 7.5166 7.5166
angles (deg): 44.22 44.22 44.22
Last column: nearest neighbours and their distance in Å.
Positions (direct):
Sm  0.2098  0.2098  0.2098  9 Pt 3.04-3.31, 3 Zn 3.38
Sm  0.7902  0.7902  0.7902  9 Pt 3.04-3.31, 3 Zn 3.38
Be  0.0000  0.0000  0.0000  6 Pt 2.19
Zn  0.5000  0.5000  0.5000  6 Pt 2.54
Pt  0.2401  0.2401  0.7279  1 Be 2.19
Pt  0.2401  0.7279  0.2401  1 Be 2.19
Pt  0.2721  0.7599  0.7599  1 Be 2.19
Pt  0.7279  0.2401  0.2401  1 Be 2.19
Pt  0.7599  0.2721  0.7599  1 Be 2.19
Pt  0.7599  0.7599  0.2721  1 Be 2.19

Electronic total energy = -5.878 eV/atom
Space group = R-3m, No. 166
Size of the total moment = 0.000 μB/atom
N(E_F) = 0.37 states/eV per atom